(1)
{"formula": "Tb2PmPr6Ho", "functional": "PBE", "state": "relaxed", "lattice": [[9.3047, -2.0909, -2.1699], [0.8312, 8.7476, -2.0398], [0.8312, -2.3626, 8.6660]], "species": ["Pr", "Tb", "Tb", "Pm", "Tb", "Pr", "Pr", "Pr", "Pm", "Ho", "Pr", "Ho", "Pr", "Pr", "Pr", "Pr", "Pr", "Pr", "Pr", "Tb"], "fractional_positions": [[0.6180, 0.4900, 0.7054], [0.0464, 0.2972, 0.2003], [0.4536, 0.7997, 0.7028], [0.2500, 0.9740, 0.0260], [0.9536, 0.7028, 0.7997], [0.9456, 0.8845, 0.2416], [0.6883, 0.0081, 0.5649], [0.3117, 0.9918, 0.4351], [0.7500, 0.0260, 0.9740], [0.7500, 0.5892, 0.4108], [0.4456, 0.2416, 0.8845], [0.2500, 0.4108, 0.5892], [0.8117, 0.4351, 0.9918], [0.3820, 0.5100, 0.2946], [0.0544, 0.1155, 0.7584], [0.1180, 0.7054, 0.4900], [0.5544, 0.7584, 0.1155], [0.1883, 0.5649, 0.0081], [0.8820, 0.2946, 0.5100], [0.5464, 0.2003, 0.2972]], "crystal_system": "monoclinic", "formation_enthalpy_0k_ev_per_atom": 0.113, "volume_a3_per_cell": 699}

(2)
{"formula": "KGa2Sn4", "functional": "PBE", "state": "relaxed", "lattice": [[5.1000, 0.0000, 0.0000], [0.0000, 5.0391, 0.0000], [0.0000, -2.5195, 7.7334]], "species": ["K", "Sn", "Ga", "Ga", "Sn", "Sn", "Sn"], "fractional_positions": [[0.0000, 0.0000, 0.0000], [0.0000, 0.6883, 0.3765], [0.5000, 0.4150, 0.8299], [0.5000, 0.5850, 0.1701], [0.5000, 0.1807, 0.3614], [0.0000, 0.3117, 0.6235], [0.5000, 0.8193, 0.6386]], "polymorph_energy_mev_per_atom": 0, "crystal_system": "orthorhombic", "formation_enthalpy_0k_ev_per_atom": -0.050, "volume_a3_per_cell": 199}

(3)
{"formula": "LiTi2IrPd", "functional": "PBE", "state": "relaxed", "lattice": [[-4.2938, -1.8153, 0.1773], [0.2234, -0.0433, 4.9649], [-1.8118, 4.2972, 0.1190]], "species": ["Ti", "Pd", "Li", "Ir", "Ti"], "fractional_positions": [[0.0000, 0.0000, 0.5000], [0.0000, 0.0000, 0.0000], [0.5000, 0.5000, 0.5000], [0.0000, 0.5000, 0.0000], [0.5000, 0.0000, 0.0000]], "crystal_system": "tetragonal", "formation_enthalpy_0k_ev_per_atom": 0.805, "volume_a3_per_cell": 108}